1.
Below is an optimized crystal structure of Gd2HRh, with properties calculated at the GGA-PBE level.

CIF file:
```
data_Gd2HRh
_cell_length_a 3.291
_cell_length_b 3.291
_cell_length_c 7.024
_cell_angle_alpha 90.00
_cell_angle_beta 90.00
_cell_angle_gamma 90.00
_space_group_name_H-M_alt 'P 4/m m m'
_space_group_IT_number 123
_space_group_name_Hall '-P 4 2'
loop_
_atom_site_label
_atom_site_fract_x
_atom_site_fract_y
_atom_site_fract_z
_atom_site_occupancy
Gd1 0.000 0.000 0.246 1
H1 0.500 0.500 0.000 1
Rh1 0.500 0.500 0.500 1
```

Relative energy among the computed polymorphs ... 72 kJ/mol of formula units


2.
Below is an optimized crystal structure of Gd2H4Rh, with properties calculated at the GGA-PBE level.

CIF file:
```
data_Gd2H4Rh
_cell_length_a 3.651
_cell_length_b 3.651
_cell_length_c 12.535
_cell_angle_alpha 90.00
_cell_angle_beta 90.00
_cell_angle_gamma 90.00
_space_group_name_H-M_alt 'I 4/m m m'
_space_group_IT_number 139
_space_group_name_Hall '-I 4 2'
loop_
_atom_site_label
_atom_site_fract_x
_atom_site_fract_y
_atom_site_fract_z
_atom_site_occupancy
Gd1 0.000 0.000 0.147 1
H1 0.000 0.000 0.349 1
H2 0.000 0.500 0.000 1
Rh1 0.000 0.000 0.500 1
```

VASP energy ... -7.49 eV/atom


3.
Below is an optimized crystal structure of GdH3Rh, with properties calculated at the GGA-PBE level.

CIF file:
```
data_GdH3Rh
_cell_length_a 3.683
_cell_length_b 3.683
_cell_length_c 3.683
_cell_angle_alpha 90.00
_cell_angle_beta 90.00
_cell_angle_gamma 90.00
_space_group_name_H-M_alt 'P m -3 m'
_space_group_IT_number 221
_space_group_name_Hall '-P 4 2 3'
loop_
_atom_site_label
_atom_site_fract_x
_atom_site_fract_y
_atom_site_fract_z
_atom_site_occupancy
Gd1 0.000 0.000 0.000 1
H1 0.000 0.500 0.500 1
Rh1 0.500 0.500 0.500 1
```

VASP energy ... -6.89 eV/atom


4.
Below is an optimized crystal structure of Gd2HRh, with properties calculated at the GGA-PBE level.

CIF file:
```
data_Gd2HRh
_cell_length_a 3.9251
_cell_length_b 3.9251
_cell_length_c 18.1863
_cell_angle_alpha 90.00
_cell_angle_beta 90.00
_cell_angle_gamma 120.00
_space_group_name_H-M_alt 'R -3 m'
_space_group_IT_number 166
_space_group_name_Hall '-R 3 2"'
loop_
_atom_site_label
_atom_site_fract_x
_atom_site_fract_y
_atom_site_fract_z
_atom_site_occupancy
Gd1 0.0000 0.0000 0.2443 1
H1 0.0000 0.0000 0.5000 1
Rh1 0.0000 0.0000 0.0000 1
```

Relative energy among the computed polymorphs ... 0 kJ/mol of formula units


5.
Below is an optimized crystal structure of GdHRh, with properties calculated at the GGA-PBE level.

CIF file:
```
data_GdHRh
_cell_length_a 3.8176
_cell_length_b 3.8176
_cell_length_c 3.6890
_cell_angle_alpha 90.00
_cell_angle_beta 90.00
_cell_angle_gamma 120.00
_space_group_name_H-M_alt 'P -6 m 2'
_space_group_IT_number 187
_space_group_name_Hall 'P -6 2'
loop_
_atom_site_label
_atom_site_fract_x
_atom_site_fract_y
_atom_site_fract_z
_atom_site_occupancy
Gd1 0.0000 0.0000 0.0000 1
H1 0.6667 0.3333 0.5000 1
Rh1 0.3333 0.6667 0.5000 1
```

Relative energy among the computed polymorphs ... 50 kJ/mol of formula units


6.
Below is an optimized crystal structure of GdHRu, with properties calculated at the GGA-PBE level.

CIF file:
```
data_GdHRu
_cell_length_a 3.222
_cell_length_b 8.638
_cell_length_c 6.150
_cell_angle_alpha 90.00
_cell_angle_beta 90.00
_cell_angle_gamma 90.00
_space_group_name_H-M_alt 'C m c m'
_space_group_IT_number 63
_space_group_name_Hall '-C 2c 2'
loop_
_atom_site_label
_atom_site_fract_x
_atom_site_fract_y
_atom_site_fract_z
_atom_site_occupancy
Gd1 0.000 0.224 0.250 1
H1 0.000 0.041 0.750 1
Ru1 0.000 0.500 0.000 1
```

Relative energy among the computed polymorphs ... 0 kJ/mol of formula units


7.
Below is an optimized crystal structure of Gd2HRu, with properties calculated at the GGA-PBE level.

CIF file:
```
data_Gd2HRu
_cell_length_a 3.6659
_cell_length_b 3.6659
_cell_length_c 19.9477
_cell_angle_alpha 90.00
_cell_angle_beta 90.00
_cell_angle_gamma 120.00
_space_group_name_H-M_alt 'R -3 m'
_space_group_IT_number 166
_space_group_name_Hall '-R 3 2"'
loop_
_atom_site_label
_atom_site_fract_x
_atom_site_fract_y
_atom_site_fract_z
_atom_site_occupancy
Gd1 0.0000 0.0000 0.2416 1
H1 0.0000 0.0000 0.5000 1
Ru1 0.0000 0.0000 0.0000 1
```

Relative energy among the computed polymorphs ... 0 kJ/mol of formula units


8.
Below is an optimized crystal structure of GdHRu, with properties calculated at the GGA-PBE level.

CIF file:
```
data_GdHRu
_cell_length_a 3.3721
_cell_length_b 3.3721
_cell_length_c 4.4407
_cell_angle_alpha 90.00
_cell_angle_beta 90.00
_cell_angle_gamma 120.00
_space_group_name_H-M_alt 'P 3 m 1'
_space_group_IT_number 156
loop_
_space_group_symop_operation_xyz
'x,y,z'
'-y,x-y,z'
'-x+y,-x,z'
'-y,-x,z'
'-x+y,y,z'
'x,x-y,z'
loop_
_atom_site_label
_atom_site_fract_x
_atom_site_fract_y
_atom_site_fract_z
_atom_site_occupancy
Gd1 0.0000 0.0000 0.0000 1
H1 0.3333 0.6667 0.5021 1
Ru1 0.6667 0.3333 0.5002 1
```

Relative energy among the computed polymorphs ... 3 kJ/mol of formula units


9.
Below is an optimized crystal structure of GdH3Ru, with properties calculated at the GGA-PBE level.

CIF file:
```
data_GdH3Ru
_cell_length_a 3.676
_cell_length_b 3.676
_cell_length_c 3.676
_cell_angle_alpha 90.00
_cell_angle_beta 90.00
_cell_angle_gamma 90.00
_space_group_name_H-M_alt 'P m -3 m'
_space_group_IT_number 221
_space_group_name_Hall '-P 4 2 3'
loop_
_atom_site_label
_atom_site_fract_x
_atom_site_fract_y
_atom_site_fract_z
_atom_site_occupancy
Gd1 0.000 0.000 0.000 1
H1 0.000 0.500 0.500 1
Ru1 0.500 0.500 0.500 1
```

VASP energy ... -7.13 eV/atom


10.
Below is an optimized crystal structure of Gd2HRu, with properties calculated at the GGA-PBE level.

CIF file:
```
data_Gd2HRu
_cell_length_a 3.275
_cell_length_b 3.275
_cell_length_c 7.061
_cell_angle_alpha 90.00
_cell_angle_beta 90.00
_cell_angle_gamma 90.00
_space_group_name_H-M_alt 'P 4/m m m'
_space_group_IT_number 123
_space_group_name_Hall '-P 4 2'
loop_
_atom_site_label
_atom_site_fract_x
_atom_site_fract_y
_atom_site_fract_z
_atom_site_occupancy
Gd1 0.000 0.000 0.248 1
H1 0.500 0.500 0.500 1
Ru1 0.500 0.500 0.000 1
```

Relative energy among the computed polymorphs ... 10 kJ/mol of formula units


11.
Below is an optimized crystal structure of GdH2S, with properties calculated at the GGA-PBE level.

CIF file:
```
data_GdH2S
_cell_length_a 4.1240
_cell_length_b 4.1240
_cell_length_c 9.9007
_cell_angle_alpha 90.00
_cell_angle_beta 90.00
_cell_angle_gamma 120.00
_space_group_name_H-M_alt 'R -3 m'
_space_group_IT_number 166
_space_group_name_Hall '-R 3 2"'
loop_
_atom_site_label
_atom_site_fract_x
_atom_site_fract_y
_atom_site_fract_z
_atom_site_occupancy
Gd1 0.0000 0.0000 0.0000 1
H1 0.0000 0.0000 0.2332 1
S1 0.0000 0.0000 0.5000 1
```

VASP energy ... -6.79 eV/atom


12.
Below is an optimized crystal structure of GdSbH, with properties calculated at the GGA-PBE level.

CIF file:
```
data_GdSbH
_cell_length_a 3.7999
_cell_length_b 3.7999
_cell_length_c 4.7314
_cell_angle_alpha 90.00
_cell_angle_beta 90.00
_cell_angle_gamma 120.00
_space_group_name_H-M_alt 'P -6 m 2'
_space_group_IT_number 187
_space_group_name_Hall 'P -6 2'
loop_
_atom_site_label
_atom_site_fract_x
_atom_site_fract_y
_atom_site_fract_z
_atom_site_occupancy
Gd1 0.0000 0.0000 0.0000 1
Sb1 0.6667 0.3333 0.5000 1
H1 0.3333 0.6667 0.0000 1
```

Relative energy among the computed polymorphs ... 0 kJ/mol of formula units


13.
Below is an optimized crystal structure of GdSbH, with properties calculated at the GGA-PBE level.

CIF file:
```
data_GdSbH
_cell_length_a 6.219
_cell_length_b 6.332
_cell_length_c 6.600
_cell_angle_alpha 90.00
_cell_angle_beta 90.00
_cell_angle_gamma 90.00
_space_group_name_H-M_alt 'P n m a'
_space_group_IT_number 62
loop_
_space_group_symop_operation_xyz
'x,y,z'
'-x,-y,-z'
'-x+1/2,-y,z+1/2'
'x+1/2,y,-z+1/2'
'x+1/2,-y+1/2,-z+1/2'
'-x+1/2,y+1/2,z+1/2'
'-x,y+1/2,-z'
'x,-y+1/2,z'
loop_
_atom_site_label
_atom_site_fract_x
_atom_site_fract_y
_atom_site_fract_z
_atom_site_occupancy
Gd1 0.239 0.250 0.039 1
Sb1 0.245 0.250 0.546 1
H1 0.030 0.250 0.291 1
```

Relative energy among the computed polymorphs ... 69 kJ/mol of formula units


14.
Below is an optimized crystal structure of GdSbH, with properties calculated at the GGA-PBE level.

CIF file:
```
data_GdSbH
_cell_length_a 3.279
_cell_length_b 3.279
_cell_length_c 11.237
_cell_angle_alpha 90.00
_cell_angle_beta 90.00
_cell_angle_gamma 90.00
_space_group_name_H-M_alt 'I 4 m m'
_space_group_IT_number 107
_space_group_name_Hall 'I 4 -2'
loop_
_atom_site_label
_atom_site_fract_x
_atom_site_fract_y
_atom_site_fract_z
_atom_site_occupancy
Gd1 0.000 0.000 0.000 1
Sb1 0.000 0.000 0.285 1
H1 0.000 0.000 0.555 1
```

Relative energy among the computed polymorphs ... 74 kJ/mol of formula units


15.
Below is an optimized crystal structure of GdScH, with properties calculated at the GGA-PBE level.

CIF file:
```
data_GdScH
_cell_length_a 5.533
_cell_length_b 3.478
_cell_length_c 6.165
_cell_angle_alpha 90.00
_cell_angle_beta 91.09
_cell_angle_gamma 90.00
_space_group_name_H-M_alt 'P 1 21/m 1'
_space_group_IT_number 11
loop_
_space_group_symop_operation_xyz
'x,y,z'
'-x,-y,-z'
'-x,y+1/2,-z'
'x,-y+1/2,z'
loop_
_atom_site_label
_atom_site_fract_x
_atom_site_fract_y
_atom_site_fract_z
_atom_site_occupancy
Gd1 0.247 0.250 0.408 1
Sc1 0.264 0.750 0.922 1
H1 0.365 0.250 0.066 1
```

Relative energy among the computed polymorphs ... 0 kJ/mol of formula units


16.
Below is an optimized crystal structure of GdScH, with properties calculated at the GGA-PBE level.

CIF file:
```
data_GdScH
_cell_length_a 3.4637
_cell_length_b 3.4637
_cell_length_c 5.4412
_cell_angle_alpha 90.00
_cell_angle_beta 90.00
_cell_angle_gamma 120.00
_space_group_name_H-M_alt 'P 3 m 1'
_space_group_IT_number 156
loop_
_space_group_symop_operation_xyz
'x,y,z'
'-y,x-y,z'
'-x+y,-x,z'
'-y,-x,z'
'-x+y,y,z'
'x,x-y,z'
loop_
_atom_site_label
_atom_site_fract_x
_atom_site_fract_y
_atom_site_fract_z
_atom_site_occupancy
Gd1 0.0000 0.0000 0.0000 1
Sc1 0.6667 0.3333 0.5137 1
H1 0.3333 0.6667 0.7338 1
```

Relative energy among the computed polymorphs ... 27 kJ/mol of formula units


17.
Below is an optimized crystal structure of GdSc2H, with properties calculated at the GGA-PBE level.

CIF file:
```
data_GdSc2H
_cell_length_a 3.3751
_cell_length_b 3.3751
_cell_length_c 24.2777
_cell_angle_alpha 90.00
_cell_angle_beta 90.00
_cell_angle_gamma 120.00
_space_group_name_H-M_alt 'R -3 m'
_space_group_IT_number 166
_space_group_name_Hall '-R 3 2"'
loop_
_atom_site_label
_atom_site_fract_x
_atom_site_fract_y
_atom_site_fract_z
_atom_site_occupancy
Gd1 0.0000 0.0000 0.0000 1
Sc1 0.0000 0.0000 0.2174 1
H1 0.0000 0.0000 0.5000 1
```

Relative energy among the computed polymorphs ... 0 kJ/mol of formula units


18.
Below is an optimized crystal structure of Gd2Sc4H, with properties calculated at the GGA-PBE level.

CIF file:
```
data_Gd2Sc4H
_cell_length_a 4.550
_cell_length_b 4.550
_cell_length_c 16.318
_cell_angle_alpha 90.00
_cell_angle_beta 90.00
_cell_angle_gamma 90.00
_space_group_name_H-M_alt 'I 4/m m m'
_space_group_IT_number 139
_space_group_name_Hall '-I 4 2'
loop_
_atom_site_label
_atom_site_fract_x
_atom_site_fract_y
_atom_site_fract_z
_atom_site_occupancy
Gd1 0.000 0.000 0.156 1
Sc1 0.000 0.000 0.360 1
Sc2 0.000 0.500 0.000 1
H1 0.000 0.000 0.500 1
```

VASP energy ... -8.04 eV/atom


19.
Below is an optimized crystal structure of GdSc3H, with properties calculated at the GGA-PBE level.

CIF file:
```
data_GdSc3H
_cell_length_a 4.671
_cell_length_b 4.671
_cell_length_c 4.671
_cell_angle_alpha 90.00
_cell_angle_beta 90.00
_cell_angle_gamma 90.00
_space_group_name_H-M_alt 'P m -3 m'
_space_group_IT_number 221
_space_group_name_Hall '-P 4 2 3'
loop_
_atom_site_label
_atom_site_fract_x
_atom_site_fract_y
_atom_site_fract_z
_atom_site_occupancy
Gd1 0.000 0.000 0.000 1
Sc1 0.000 0.500 0.500 1
H1 0.500 0.500 0.500 1
```

VASP energy ... -7.41 eV/atom


20.
Below is an optimized crystal structure of GdSc2H, with properties calculated at the GGA-PBE level.

CIF file:
```
data_GdSc2H
_cell_length_a 3.132
_cell_length_b 3.132
_cell_length_c 8.180
_cell_angle_alpha 90.00
_cell_angle_beta 90.00
_cell_angle_gamma 90.00
_space_group_name_H-M_alt 'P 4/m m m'
_space_group_IT_number 123
_space_group_name_Hall '-P 4 2'
loop_
_atom_site_label
_atom_site_fract_x
_atom_site_fract_y
_atom_site_fract_z
_atom_site_occupancy
Gd1 0.000 0.000 0.000 1
Sc1 0.500 0.500 0.318 1
H1 0.000 0.000 0.500 1
```

Relative energy among the computed polymorphs ... 137 kJ/mol of formula units


What are the density of states at the Fermi level values for these records? In order: 0.955, 0.363, 0.409, 0.473, 0.493, 0.383, 0.640, 0.581, 0.744, 0.692, 0.373, 0.347, 0.342, 0.395, 0.867, 1.176, 0.859, 1.397, 0.964, 1.297 states/eV per atom.